MnFeMo2 | GGA-PBE | relaxed

a = 5.437 Å, b = 5.437 Å, c = 5.437 Å
α = 102.94°, β = 102.94°, γ = 123.51°
Element x y z (fractional)
Mn  0.000  0.000  0.000
Mn  0.750  0.250  0.500
Fe  0.250  0.750  0.500
Fe  0.500  0.500  0.000
Mo  0.150  0.125  0.525
Mo  0.375  0.850  0.975
Mo  0.600  0.625  0.475
Mo  0.875  0.400  0.025

Results
For the total energy, the calculation gives -9.178 eV/atom. The space group is I-42d. As for the energy relative to the elements: 0.6461 eV/atom. As for the crystal system: tetragonal. The calculation puts the energy above the most stable polymorph in this dataset at 51.8 kJ per mole of atoms.